# 1
Pm4Pr5Co2: relaxed, PBE.

```
Pm4Pr5Co2
1.0
-1.061 3.343 -0.983
-7.536 -3.512 -3.809
-4.355 1.308 9.146
Co Pr Pm
2 5 4
Cartesian
-8.790 -2.898 -0.370
-3.101 0.695 5.706
-10.062 -1.850 4.566
-5.441 -1.422 1.037
-1.829 -0.354 0.770
-6.450 -0.782 4.300
-3.768 -1.756 -1.905
-7.539 -0.982 -1.954
-9.023 -0.501 1.283
-3.929 1.641 3.070
-5.413 2.122 6.307
```

Final energy: -5.145 eV/atom
Magnetic moment: 0.0 μB/cell

=====

# 2
PmPr3Co2: relaxed, PBE.

```
PmPr3Co2
1.0
6.831 0.000 0.000
0.000 7.128 0.000
-3.416 -3.564 6.835
Pr Co Pm
6 4 2
Cartesian
3.416 -1.782 3.587
0.000 1.782 3.248
3.416 5.346 0.000
3.416 1.782 3.587
3.416 1.782 0.000
0.000 5.346 3.248
1.521 0.000 5.001
1.894 3.564 1.834
4.937 0.000 1.834
-1.521 3.564 5.001
0.000 3.564 0.000
0.000 0.000 0.000
```

Energy relative to the lowest polymorph listed for this composition: 93 meV per atom
Magnetic moment: 0.0 μB/cell

=====

# 3
Pm2PrCo2: relaxed, PBE.

```
Pm2PrCo2
1.0
-0.226 -0.766 -3.735
-0.962 -5.506 1.187
-5.159 2.825 1.686
Pm Co Pr
2 2 1
Cartesian
-2.231 -2.881 -1.227
-4.116 -0.566 0.365
-2.594 0.164 -1.830
-3.753 -3.612 0.968
0.000 0.000 0.000
```

Energy relative to the lowest polymorph listed for this composition: 76 meV per atom
Magnetic moment: 0.0 μB/cell

=====

# 4
Pm3Pr4Co2: relaxed, PBE.

```
Pm3Pr4Co2
1.0
3.608 0.000 -0.995
-0.796 8.763 -2.888
0.450 -0.736 8.672
Pm Pr Co
3 4 2
Cartesian
3.095 6.427 4.185
-0.398 4.381 -1.444
0.166 1.600 0.604
1.700 7.591 -0.874
1.561 0.436 5.663
0.508 5.329 1.843
2.753 2.698 2.946
1.272 4.390 4.614
1.989 3.636 0.174
```

Final energy: -5.308 eV/atom
Magnetic moment: 0.0 μB/cell

=====

# 5
Pm2PrCo2: relaxed, PBE.

```
Pm2PrCo2
1.0
4.111 0.000 0.000
0.000 3.847 -1.094
0.000 0.139 7.801
Pm Co Pr
2 2 1
Cartesian
2.055 1.445 5.084
2.055 2.541 1.623
0.000 0.883 3.104
0.000 3.103 3.603
0.000 0.000 0.000
```

Energy relative to the lowest polymorph listed for this composition: 0 meV per atom
Magnetic moment: 0.9 μB/cell

=====

# 6
PmPrCo2: relaxed, PBE.

```
PmPrCo2
1.0
-2.934 3.884 -0.610
-4.629 -0.145 1.616
-1.331 2.700 3.873
Co Pm Pr
2 1 1
Cartesian
-6.671 4.830 3.660
-2.224 1.610 1.220
0.000 0.000 0.000
-4.447 3.220 2.440
```

Energy relative to the lowest polymorph listed for this composition: 112 meV per atom
Magnetic moment: 0.8 μB/cell